[1]
This record from Alexandria describes Cs2BaZn2 at its PBEsol-relaxed geometry. The functional is SCAN.

CIF file:
```
data_Cs2BaZn2
_cell_length_a 5.209
_cell_length_b 5.209
_cell_length_c 15.617
_cell_angle_alpha 90.00
_cell_angle_beta 90.00
_cell_angle_gamma 90.00
_space_group_name_H-M_alt 'I 4/m m m'
_space_group_IT_number 139
_space_group_name_Hall '-I 4 2'
loop_
_atom_site_label
_atom_site_fract_x
_atom_site_fract_y
_atom_site_fract_z
_atom_site_occupancy
Cs1 0.000 0.500 0.250 1
Ba1 0.000 0.000 0.000 1
Zn1 0.000 0.000 0.422 1
```

For the formation energy, the calculation gives 4.5 kcal/mol of atoms. The energy comes out at -282.4 eV for the cell shown.

[2]
This record from Alexandria describes Ba2Cu3 at its PBEsol-relaxed geometry. The functional is SCAN.

CIF file:
```
data_Ba2Cu3
_cell_length_a 4.3823
_cell_length_b 4.3823
_cell_length_c 24.6115
_cell_angle_alpha 90.00
_cell_angle_beta 90.00
_cell_angle_gamma 120.00
_space_group_name_H-M_alt 'R -3 m'
_space_group_IT_number 166
_space_group_name_Hall '-R 3 2"'
loop_
_atom_site_label
_atom_site_fract_x
_atom_site_fract_y
_atom_site_fract_z
_atom_site_occupancy
Ba1 0.0000 0.0000 0.0859 1
Cu1 0.0000 0.0000 0.3336 1
Cu2 0.0000 0.0000 0.5000 1
```

For the formation energy, the calculation gives 2.4 kcal/mol of atoms. The energy comes out at -372.5 eV for the cell shown.

[3]
This record from Alexandria describes BaCu at its PBEsol-relaxed geometry. The functional is SCAN.

CIF file:
```
data_BaCu
_cell_length_a 4.3714
_cell_length_b 4.3714
_cell_length_c 24.2328
_cell_angle_alpha 90.00
_cell_angle_beta 90.00
_cell_angle_gamma 120.00
_space_group_name_H-M_alt 'R -3 m'
_space_group_IT_number 166
_space_group_name_Hall '-R 3 2"'
loop_
_atom_site_label
_atom_site_fract_x
_atom_site_fract_y
_atom_site_fract_z
_atom_site_occupancy
Ba1 0.0000 0.0000 0.0848 1
Cu1 0.0000 0.0000 0.3333 1
```

For the formation energy, the calculation gives -0.5 kcal/mol of atoms. The energy comes out at -328.8 eV for the cell shown.

[4]
This record from Alexandria describes BaCu2 at its PBEsol-relaxed geometry. The functional is SCAN.

CIF file:
```
data_BaCu2
_cell_length_a 4.376
_cell_length_b 4.376
_cell_length_c 14.675
_cell_angle_alpha 90.00
_cell_angle_beta 90.00
_cell_angle_gamma 90.00
_space_group_name_H-M_alt 'I 41/a m d'
_space_group_IT_number 141
loop_
_space_group_symop_operation_xyz
'x,y,z'
'-x,-y,-z'
'-y+1/4,x+3/4,z+1/4'
'y+1/4,-x+3/4,-z+1/4'
'-x+1/2,-y,z+1/2'
'x+1/2,y,-z+1/2'
'y+1/4,-x+1/4,z+3/4'
'-y+1/4,x+1/4,-z+3/4'
'x,-y,-z'
'-x,y,z'
'-y+1/4,-x+1/4,-z+3/4'
'y+1/4,x+1/4,z+3/4'
'-x+1/2,y,-z+1/2'
'x+1/2,-y,z+1/2'
'y+1/4,x+3/4,-z+1/4'
'-y+1/4,-x+3/4,z+1/4'
'x+1/2,y+1/2,z+1/2'
'-x+1/2,-y+1/2,-z+1/2'
'-y+3/4,x+1/4,z+3/4'
'y+3/4,-x+1/4,-z+3/4'
'-x,-y+1/2,z'
'x,y+1/2,-z'
'y+3/4,-x+3/4,z+1/4'
'-y+3/4,x+3/4,-z+1/4'
'x+1/2,-y+1/2,-z+1/2'
'-x+1/2,y+1/2,z+1/2'
'-y+3/4,-x+3/4,-z+1/4'
'y+3/4,x+3/4,z+1/4'
'-x,y+1/2,-z'
'x,-y+1/2,z'
'y+3/4,x+1/4,-z+3/4'
'-y+3/4,-x+1/4,z+3/4'
loop_
_atom_site_label
_atom_site_fract_x
_atom_site_fract_y
_atom_site_fract_z
_atom_site_occupancy
Ba1 0.000 0.250 0.375 1
Cu1 0.000 0.250 0.791 1
```

For the formation energy, the calculation gives 0.8 kcal/mol of atoms. The energy comes out at -279.4 eV for the cell shown.

[5]
This record from Alexandria describes BaCu at its PBEsol-relaxed geometry. The functional is SCAN.

CIF file:
```
data_BaCu
_cell_length_a 5.3805
_cell_length_b 5.3805
_cell_length_c 12.1829
_cell_angle_alpha 90.00
_cell_angle_beta 90.00
_cell_angle_gamma 120.00
_space_group_name_H-M_alt 'R -3 m'
_space_group_IT_number 166
_space_group_name_Hall '-R 3 2"'
loop_
_atom_site_label
_atom_site_fract_x
_atom_site_fract_y
_atom_site_fract_z
_atom_site_occupancy
Ba1 0.0000 0.0000 0.1325 1
Cu1 0.0000 0.0000 0.3928 1
```

For the formation energy, the calculation gives 7.8 kcal/mol of atoms. The energy comes out at -324.4 eV for the cell shown.

[6]
This record from Alexandria describes BaCu at its PBEsol-relaxed geometry. The functional is SCAN.

CIF file:
```
data_BaCu
_cell_length_a 3.860
_cell_length_b 3.860
_cell_length_c 3.837
_cell_angle_alpha 90.00
_cell_angle_beta 90.00
_cell_angle_gamma 90.00
_space_group_name_H-M_alt 'P 4/m m m'
_space_group_IT_number 123
_space_group_name_Hall '-P 4 2'
loop_
_atom_site_label
_atom_site_fract_x
_atom_site_fract_y
_atom_site_fract_z
_atom_site_occupancy
Ba1 0.000 0.000 0.000 1
Cu1 0.500 0.500 0.500 1
```

For the formation energy, the calculation gives 3.1 kcal/mol of atoms. The energy comes out at -54.5 eV for the cell shown.

[7]
This record from Alexandria describes BaCu2 at its PBEsol-relaxed geometry. The functional is SCAN.

CIF file:
```
data_BaCu2
_cell_length_a 3.491
_cell_length_b 3.491
_cell_length_c 5.472
_cell_angle_alpha 90.00
_cell_angle_beta 90.00
_cell_angle_gamma 90.00
_space_group_name_H-M_alt 'P 4/m m m'
_space_group_IT_number 123
_space_group_name_Hall '-P 4 2'
loop_
_atom_site_label
_atom_site_fract_x
_atom_site_fract_y
_atom_site_fract_z
_atom_site_occupancy
Ba1 0.000 0.000 0.000 1
Cu1 0.000 0.500 0.500 1
```

For the formation energy, the calculation gives 7.9 kcal/mol of atoms. The energy comes out at -68.9 eV for the cell shown.

[8]
This record from Alexandria describes BaCu2 at its PBEsol-relaxed geometry. The functional is SCAN.

CIF file:
```
data_BaCu2
_cell_length_a 11.348
_cell_length_b 4.156
_cell_length_c 7.404
_cell_angle_alpha 90.00
_cell_angle_beta 128.85
_cell_angle_gamma 90.00
_space_group_name_H-M_alt 'C 1 2/m 1'
_space_group_IT_number 12
loop_
_space_group_symop_operation_xyz
'x,y,z'
'-x,-y,-z'
'-x,y,-z'
'x,-y,z'
'x+1/2,y+1/2,z'
'-x+1/2,-y+1/2,-z'
'-x+1/2,y+1/2,-z'
'x+1/2,-y+1/2,z'
loop_
_atom_site_label
_atom_site_fract_x
_atom_site_fract_y
_atom_site_fract_z
_atom_site_occupancy
Ba1 0.063 0.000 0.289 1
Cu1 0.137 0.500 0.687 1
Cu2 0.232 0.500 0.090 1
```

For the formation energy, the calculation gives 1.2 kcal/mol of atoms. The energy comes out at -279.2 eV for the cell shown.